a:
VASP calculation (PBE) on a geometry-optimized DyMg5Sc2 structure.

abc: 5.131 5.131 8.126
angles: 108.41 108.41 90.00
Positions (direct):
1 Dy 0.000 0.000 0.000
2 Mg 0.500 0.500 0.000
3 Mg 0.629 0.129 0.257
4 Mg 0.129 0.629 0.257
5 Mg 0.371 0.871 0.743
6 Mg 0.871 0.371 0.743
7 Sc 0.255 0.255 0.510
8 Sc 0.745 0.745 0.490

Results
space group = I4/mmm (139)



b:
VASP calculation (PBE) on a geometry-optimized DyMg5Sc2 structure.

abc: 8.033 8.033 8.362
angles: 118.71 118.71 90.00
Positions (direct):
1 Dy 0.750 0.750 0.500
2 Dy 0.250 0.250 0.500
3 Mg 0.479 0.694 0.673
4 Mg 0.806 0.021 0.327
5 Mg 0.000 0.000 0.000
6 Mg 0.500 0.500 0.000
7 Mg 0.194 0.979 0.673
8 Mg 0.694 0.194 0.673
9 Mg 0.979 0.479 0.673
10 Mg 0.306 0.806 0.327
11 Mg 0.021 0.521 0.327
12 Mg 0.521 0.306 0.327
13 Sc 0.155 0.345 0.000
14 Sc 0.655 0.155 0.000
15 Sc 0.345 0.845 0.000
16 Sc 0.845 0.655 0.000

Results
space group = I4/mcm (140)



Quick one: least stable of them? b



a:
VASP calculation (PBE) on a geometry-optimized Dy2MgSc3 structure.

abc: 5.269 8.401 9.285
angles: 123.17 90.00 108.28
Positions (direct):
1 Dy 0.540 0.081 0.863
2 Dy 0.460 0.919 0.137
3 Dy 0.808 0.616 0.130
4 Dy 0.192 0.384 0.870
5 Mg 0.882 0.763 0.862
6 Mg 0.118 0.237 0.138
7 Sc 0.289 0.578 0.629
8 Sc 0.943 0.886 0.594
9 Sc 0.634 0.269 0.624
10 Sc 0.366 0.731 0.376
11 Sc 0.057 0.114 0.406
12 Sc 0.711 0.422 0.371

Results
space group = C2/m (12)



b:
VASP calculation (PBE) on a geometry-optimized Dy2MgSc3 structure.

abc: 7.961 7.962 9.482
angles: 100.30 147.09 77.69
Positions (direct):
1 Dy 0.590 0.005 0.250
2 Dy 0.410 0.995 0.750
3 Dy 0.745 0.660 0.750
4 Dy 0.255 0.340 0.250
5 Mg 0.919 0.669 0.250
6 Mg 0.081 0.331 0.750
7 Sc 0.527 0.598 0.250
8 Sc 0.473 0.402 0.750
9 Sc 0.848 0.277 0.250
10 Sc 0.814 0.064 0.750
11 Sc 0.152 0.723 0.750
12 Sc 0.186 0.936 0.250

Results
space group = Cmcm (63)



Quick one: least stable of them? a



a:
VASP calculation (PBE) on a geometry-optimized Dy3MgSc3 structure.

abc: 5.902 5.902 13.817
angles: 77.67 77.67 60.00
Positions (direct):
1 Dy 0.932 0.267 0.205
2 Dy 0.597 0.932 0.205
3 Dy 0.267 0.597 0.205
4 Dy 0.733 0.403 0.795
5 Dy 0.403 0.068 0.795
6 Dy 0.068 0.733 0.795
7 Mg 0.667 0.667 0.000
8 Mg 0.333 0.333 0.000
9 Sc 0.197 0.865 0.406
10 Sc 0.532 0.197 0.406
11 Sc 0.865 0.532 0.406
12 Sc 0.135 0.468 0.594
13 Sc 0.468 0.803 0.594
14 Sc 0.803 0.135 0.594

Results
space group = R-3 (148)



b:
VASP calculation (PBE) on a geometry-optimized Dy3MgSc3 structure.

abc: 5.359 9.074 9.070
angles: 120.01 90.00 90.00
Positions (direct):
1 Dy 0.250 0.534 0.633
2 Dy 0.250 0.099 0.466
3 Dy 0.250 0.367 0.901
4 Dy 0.750 0.466 0.367
5 Dy 0.750 0.901 0.534
6 Dy 0.750 0.633 0.099
7 Mg 0.750 0.333 0.667
8 Mg 0.250 0.667 0.333
9 Sc 0.750 0.771 0.822
10 Sc 0.750 0.051 0.229
11 Sc 0.750 0.178 0.949
12 Sc 0.250 0.229 0.178
13 Sc 0.250 0.949 0.771
14 Sc 0.250 0.822 0.051

Results
space group = P6_3/m (176)



Quick one: least stable of them? a



a:
VASP calculation (PBE) on a geometry-optimized DyMg2Sc2 structure.

abc: 3.552 5.250 13.558
angles: 90.00 97.52 90.00
Positions (direct):
1 Dy 0.847 0.750 0.692
2 Dy 0.153 0.250 0.308
3 Mg 0.639 0.750 0.280
4 Mg 0.361 0.250 0.720
5 Mg 0.449 0.750 0.899
6 Mg 0.551 0.250 0.101
7 Sc 0.045 0.750 0.089
8 Sc 0.955 0.250 0.911
9 Sc 0.237 0.750 0.475
10 Sc 0.763 0.250 0.525

Results
space group = P2_1/m (11)



b:
VASP calculation (PBE) on a geometry-optimized DyMg2Sc2 structure.

abc: 4.141 4.141 15.860
angles: 97.50 97.50 90.00
Positions (direct):
1 Dy 0.619 0.619 0.239
2 Dy 0.381 0.381 0.761
3 Mg 0.000 0.500 0.000
4 Mg 0.173 0.173 0.347
5 Mg 0.500 0.000 0.000
6 Mg 0.827 0.827 0.653
7 Sc 0.750 0.250 0.500
8 Sc 0.927 0.927 0.853
9 Sc 0.073 0.073 0.147
10 Sc 0.250 0.750 0.500

Results
space group = I4/mmm (139)



Quick one: least stable of them? b



a:
VASP calculation (PBE) on a geometry-optimized Dy2MgSc6 structure.

abc: 3.287 8.199 9.248
angles: 78.83 79.76 78.44
Positions (direct):
1 Dy 0.330 0.019 0.321
2 Dy 0.670 0.981 0.679
3 Mg 0.000 0.000 0.000
4 Sc 0.769 0.353 0.108
5 Sc 0.231 0.647 0.892
6 Sc 0.392 0.661 0.554
7 Sc 0.053 0.643 0.250
8 Sc 0.947 0.357 0.750
9 Sc 0.608 0.339 0.446

Results
space group = C2/m (12)



b:
VASP calculation (PBE) on a geometry-optimized Dy2MgSc6 structure.

abc: 5.376 5.957 8.808
angles: 109.76 107.77 90.00
Positions (direct):
1 Dy 0.607 0.107 0.213
2 Dy 0.393 0.893 0.787
3 Mg 0.500 0.500 0.000
4 Sc 0.802 0.550 0.603
5 Sc 0.198 0.450 0.397
6 Sc 0.198 0.946 0.397
7 Sc 0.000 0.243 0.000
8 Sc 0.000 0.757 0.000
9 Sc 0.802 0.054 0.603

Results
space group = Immm (71)



Quick one: least stable of them? b



a:
VASP calculation (PBE) on a geometry-optimized DyMg4Sc structure.

abc: 5.933 5.933 5.933
angles: 60.00 60.00 60.00
Positions (direct):
1 Sc 0.000 0.000 0.000
2 Mg 0.625 0.625 0.124
3 Mg 0.625 0.124 0.625
4 Mg 0.625 0.625 0.625
5 Mg 0.124 0.625 0.625
6 Dy 0.250 0.250 0.250

Results
space group = F-43m (216)



b:
VASP calculation (PBE) on a geometry-optimized DyMg4Sc structure.

abc: 3.312 7.093 8.520
angles: 124.13 78.79 76.50
Positions (direct):
1 Dy 0.000 0.000 0.000
2 Mg 0.844 0.483 0.829
3 Mg 0.327 0.004 0.342
4 Mg 0.156 0.517 0.171
5 Mg 0.673 0.996 0.658
6 Sc 0.500 0.500 0.500

Results
space group = C2/m (12)



Quick one: least stable of them? a